[1]
NaMg14BO15 | Alexandria | PBE | relaxed; symmetry = No. 25
1.0
4.342 0.000 0.000
0.000 8.490 0.000
0.000 0.000 8.549
Na Mg B O
1 14 1 15
Direct
0.000 0.000 0.000
0.000 0.000 0.515
0.000 0.243 0.248
0.000 0.270 0.758
0.000 0.500 0.006
0.000 0.730 0.758
0.000 0.757 0.248
0.500 0.000 0.254
0.500 0.000 0.754
0.500 0.247 0.004
0.500 0.267 0.503
0.500 0.500 0.253
0.500 0.500 0.750
0.500 0.733 0.503
0.500 0.753 0.004
0.000 0.500 0.444
0.000 0.000 0.282
0.000 0.263 0.010
0.000 0.332 0.496
0.000 0.500 0.271
0.000 0.500 0.775
0.000 0.668 0.496
0.000 0.737 0.010
0.500 0.000 0.000
0.500 0.000 0.505
0.500 0.248 0.257
0.500 0.253 0.750
0.500 0.500 0.014
0.500 0.500 0.492
0.500 0.747 0.750
0.500 0.752 0.257

[2]
Na3MgB5O10 | Alexandria | PBE | relaxed; symmetry = No. 61
1.0
7.947 0.000 0.000
0.000 12.490 0.000
0.000 0.000 18.376
Na Mg B O
24 8 40 80
Direct
0.170 0.089 0.078
0.170 0.411 0.578
0.192 0.148 0.753
0.192 0.352 0.253
0.211 0.075 0.431
0.211 0.425 0.931
0.289 0.575 0.431
0.289 0.925 0.931
0.308 0.648 0.753
0.308 0.852 0.253
0.330 0.589 0.078
0.330 0.911 0.578
0.670 0.089 0.422
0.670 0.411 0.922
0.692 0.148 0.747
0.692 0.352 0.247
0.711 0.075 0.069
0.711 0.425 0.569
0.789 0.575 0.069
0.789 0.925 0.569
0.808 0.648 0.747
0.808 0.852 0.247
0.830 0.589 0.422
0.830 0.911 0.922
0.078 0.675 0.902
0.078 0.825 0.402
0.422 0.175 0.902
0.422 0.325 0.402
0.578 0.675 0.598
0.578 0.825 0.098
0.922 0.175 0.598
0.922 0.325 0.098
0.006 0.026 0.303
0.006 0.474 0.803
0.056 0.652 0.296
0.056 0.848 0.796
0.058 0.718 0.164
0.058 0.782 0.664
0.081 0.151 0.924
0.081 0.349 0.424
0.227 0.671 0.573
0.227 0.829 0.073
0.273 0.171 0.573
0.273 0.329 0.073
0.419 0.651 0.924
0.419 0.849 0.424
0.442 0.218 0.164
0.442 0.282 0.664
0.444 0.152 0.296
0.444 0.348 0.796
0.494 0.526 0.303
0.494 0.974 0.803
0.506 0.026 0.197
0.506 0.474 0.697
0.556 0.652 0.204
0.556 0.848 0.704
0.558 0.718 0.336
0.558 0.782 0.836
0.581 0.151 0.576
0.581 0.349 0.076
0.727 0.671 0.927
0.727 0.829 0.427
0.773 0.171 0.927
0.773 0.329 0.427
0.919 0.651 0.576
0.919 0.849 0.076
0.942 0.218 0.336
0.942 0.282 0.836
0.944 0.152 0.204
0.944 0.348 0.704
0.994 0.526 0.197
0.994 0.974 0.697
0.018 0.548 0.272
0.018 0.952 0.772
0.034 0.604 0.145
0.034 0.896 0.645
0.063 0.571 0.822
0.063 0.929 0.322
0.069 0.732 0.244
0.069 0.768 0.744
0.074 0.672 0.368
0.074 0.828 0.868
0.078 0.621 0.548
0.078 0.879 0.048
0.087 0.219 0.864
0.087 0.281 0.364
0.126 0.148 0.541
0.126 0.352 0.041
0.216 0.743 0.631
0.216 0.757 0.131
0.224 0.114 0.954
0.224 0.386 0.454
0.276 0.614 0.954
0.276 0.886 0.454
0.284 0.243 0.631
0.284 0.257 0.131
0.374 0.648 0.541
0.374 0.852 0.041
0.413 0.719 0.864
0.413 0.781 0.364
0.422 0.121 0.548
0.422 0.379 0.048
0.426 0.172 0.368
0.426 0.328 0.868
0.431 0.232 0.244
0.431 0.268 0.744
0.437 0.071 0.822
0.437 0.429 0.322
0.466 0.104 0.145
0.466 0.396 0.645
0.482 0.048 0.272
0.482 0.452 0.772
0.518 0.548 0.228
0.518 0.952 0.728
0.534 0.604 0.355
0.534 0.896 0.855
0.563 0.571 0.678
0.563 0.929 0.178
0.569 0.732 0.256
0.569 0.768 0.756
0.574 0.672 0.132
0.574 0.828 0.632
0.578 0.621 0.952
0.578 0.879 0.452
0.587 0.219 0.636
0.587 0.281 0.136
0.626 0.148 0.959
0.626 0.352 0.459
0.716 0.743 0.869
0.716 0.757 0.369
0.724 0.114 0.546
0.724 0.386 0.046
0.776 0.614 0.546
0.776 0.886 0.046
0.784 0.243 0.869
0.784 0.257 0.369
0.874 0.648 0.959
0.874 0.852 0.459
0.913 0.719 0.636
0.913 0.781 0.136
0.922 0.121 0.952
0.922 0.379 0.452
0.926 0.172 0.132
0.926 0.328 0.632
0.931 0.232 0.256
0.931 0.268 0.756
0.937 0.071 0.678
0.937 0.429 0.178
0.966 0.104 0.355
0.966 0.396 0.855
0.982 0.048 0.228
0.982 0.452 0.728

[3]
NaMg6BO8 | Alexandria | PBE | relaxed; symmetry = No. 123
1.0
4.271 0.000 0.000
0.000 4.271 0.000
0.000 0.000 8.438
Na Mg B O
1 6 1 8
Direct
0.000 0.000 0.000
0.000 0.000 0.500
0.000 0.500 0.229
0.000 0.500 0.771
0.500 0.000 0.229
0.500 0.000 0.771
0.500 0.500 0.500
0.500 0.500 0.000
0.000 0.000 0.265
0.000 0.000 0.735
0.000 0.500 0.000
0.000 0.500 0.500
0.500 0.000 0.000
0.500 0.000 0.500
0.500 0.500 0.181
0.500 0.500 0.819

[4]
NaMg14BO15 | Alexandria | PBE | relaxed; symmetry = No. 25
1.0
4.349 0.000 0.000
0.000 8.347 0.000
0.000 0.000 8.641
Na Mg B O
1 14 1 15
Direct
0.000 0.000 0.000
0.000 0.000 0.507
0.000 0.243 0.259
0.000 0.265 0.754
0.000 0.500 0.505
0.000 0.735 0.754
0.000 0.757 0.259
0.500 0.000 0.251
0.500 0.000 0.762
0.500 0.250 0.506
0.500 0.260 0.008
0.500 0.500 0.254
0.500 0.500 0.767
0.500 0.740 0.008
0.500 0.750 0.506
0.000 0.500 0.066
0.000 0.000 0.264
0.000 0.252 0.500
0.000 0.330 0.015
0.000 0.500 0.239
0.000 0.500 0.732
0.000 0.670 0.015
0.000 0.748 0.500
0.500 0.000 0.007
0.500 0.000 0.507
0.500 0.250 0.254
0.500 0.254 0.761
0.500 0.500 0.018
0.500 0.500 0.493
0.500 0.746 0.761
0.500 0.750 0.254

| no. | uncorrected formation energy (eV per atom) | D(E_F) (states/eV/atom) |
| --- | --- | --- |
| 1 | -2.3802 | 0.000 |
| 2 | -2.3940 | 0.000 |
| 3 | -2.1782 | 0.000 |
| 4 | -2.4058 | 0.000 |